#i
The following is a DFT calculation (GGA-PBE) of a geometry-optimized HfAgS2Cl structure.

Cell lengths 4.957, 4.957, 4.957 Å; angles 90.00, 90.00, 90.00 degrees
Atoms (fractional coordinates):
S  0.000  0.500  0.000
S  0.500  0.000  0.000
Hf  0.000  0.000  0.000
Ag  0.500  0.500  0.500
Cl  0.000  0.000  0.500

Values from the calculation:
Space-group type   P4/mmm (123)
Crystal system   tetragonal


#ii
The following is a DFT calculation (GGA-PBE) of a geometry-optimized HfAgS2Cl structure.

Cell lengths 4.842, 4.842, 4.682 Å; angles 90.00, 90.00, 90.00 degrees
Last column: magnetic moment on the atom in μB.
Atoms (fractional coordinates):
S  0.000  0.500  0.000  -0.05
S  0.500  0.000  0.000  -0.05
Hf  0.500  0.500  0.500  0.73
Ag  0.000  0.000  0.000  0.00
Cl  0.000  0.000  0.500  -0.02

Values from the calculation:
Space-group type   P4/mmm (123)
Crystal system   tetragonal


#i is preferred energetically. Next in line: 111.9 kJ/mol of atoms higher.


#i
The following is a DFT calculation (GGA-PBE) of a geometry-optimized AgHg2Cl structure.

Cell lengths 5.915, 5.915, 5.915 Å; angles 144.43, 117.76, 73.79 degrees
Atoms (fractional coordinates):
Hg  0.995  0.995  0.000
Hg  0.724  0.224  0.500
Ag  0.490  0.490  0.000
Cl  0.290  0.790  0.500

Values from the calculation:
Space-group type   Imm2 (44)
Crystal system   orthorhombic


#ii
The following is a DFT calculation (GGA-PBE) of a geometry-optimized AgHg2Cl structure.

Cell lengths 3.799, 5.642, 5.758 Å; angles 64.24, 90.00, 90.00 degrees
Atoms (fractional coordinates):
Hg  0.000  0.005  0.008
Hg  0.500  0.293  0.287
Ag  0.000  0.510  0.511
Cl  0.500  0.692  0.695

Values from the calculation:
Space-group type   Pm (6)
Crystal system   monoclinic


#ii is preferred energetically. Next in line: 3.2 kJ/mol of atoms higher.


#i
The following is a DFT calculation (GGA-PBE) of a geometry-optimized AgHgCl2 structure.

Cell lengths 8.933, 8.933, 8.933 Å; angles 24.69, 24.69, 24.69 degrees
Atoms (fractional coordinates):
Hg  0.000  0.000  0.000
Ag  0.500  0.500  0.500
Cl  0.895  0.895  0.895
Cl  0.105  0.105  0.105

Values from the calculation:
Space-group type   R-3m (166)
Crystal system   trigonal


#ii
The following is a DFT calculation (GGA-PBE) of a geometry-optimized AgHgCl2 structure.

Cell lengths 3.878, 3.878, 7.986 Å; angles 90.00, 90.00, 120.18 degrees
Atoms (fractional coordinates):
Hg  0.500  0.500  0.250
Ag  0.500  0.500  0.750
Cl  0.000  0.000  0.966
Cl  0.000  0.000  0.534

Values from the calculation:
Space-group type   Cmmm (65)
Crystal system   orthorhombic


#iii
The following is a DFT calculation (GGA-PBE) of a geometry-optimized AgHgCl2 structure.

Cell lengths 5.028, 5.028, 5.028 Å; angles 60.00, 60.00, 60.00 degrees
Atoms (fractional coordinates):
Hg  0.500  0.500  0.500
Ag  0.000  0.000  0.000
Cl  0.250  0.250  0.250
Cl  0.750  0.750  0.750

Values from the calculation:
Space-group type   Fm-3m (225)
Crystal system   cubic


#iv
The following is a DFT calculation (GGA-PBE) of a geometry-optimized AgHgCl2 structure.

Cell lengths 3.910, 3.910, 8.610 Å; angles 90.00, 90.00, 120.69 degrees
Atoms (fractional coordinates):
Hg  0.000  0.000  0.514
Ag  0.500  0.500  0.746
Cl  0.000  0.000  0.927
Cl  0.500  0.500  0.313

Values from the calculation:
Space-group type   Cmm2 (35)
Crystal system   orthorhombic


#i is preferred energetically. Next in line: 1.2 kJ/mol of atoms higher.


#i
The following is a DFT calculation (GGA-PBE) of a geometry-optimized AgHgCl2 structure.

Cell lengths 3.788, 3.875, 7.254 Å; angles 91.47, 90.00, 90.00 degrees
Atoms (fractional coordinates):
Hg  0.500  0.250  0.250
Ag  0.500  0.750  0.750
Cl  0.000  0.951  0.970
Cl  0.000  0.549  0.530

Values from the calculation:
Space-group type   P2/m (10)
Crystal system   monoclinic


#ii
The following is a DFT calculation (GGA-PBE) of a geometry-optimized AgHgCl2 structure.

Cell lengths 4.127, 7.447, 4.127 Å; angles 58.19, 79.42, 85.71 degrees
Atoms (fractional coordinates):
Hg  0.500  0.000  0.500
Ag  0.000  0.500  0.500
Cl  0.000  0.000  0.000
Cl  0.500  0.500  0.000

Values from the calculation:
Space-group type   C2/m (12)
Crystal system   monoclinic


#iii
The following is a DFT calculation (GGA-PBE) of a geometry-optimized AgHgCl2 structure.

Cell lengths 6.365, 6.365, 7.671 Å; angles 65.49, 65.49, 90.00 degrees
Atoms (fractional coordinates):
Hg  0.000  0.000  0.000
Hg  0.750  0.250  0.500
Ag  0.500  0.500  0.000
Ag  0.250  0.750  0.500
Cl  0.593  0.125  0.250
Cl  0.157  0.625  0.250
Cl  0.375  0.407  0.750
Cl  0.875  0.843  0.750

Values from the calculation:
Space-group type   I-42d (122)
Crystal system   tetragonal


#iv
The following is a DFT calculation (GGA-PBE) of a geometry-optimized AgHgCl2 structure.

Cell lengths 7.927, 7.927, 7.927 Å; angles 29.78, 29.78, 29.78 degrees
Atoms (fractional coordinates):
Hg  0.494  0.494  0.494
Ag  0.749  0.749  0.749
Cl  0.034  0.034  0.034
Cl  0.223  0.223  0.223

Values from the calculation:
Space-group type   R3m (160)
Crystal system   trigonal


#iv is preferred energetically. Next in line: 1.8 kJ/mol of atoms higher.


#i
The following is a DFT calculation (GGA-PBE) of a geometry-optimized AgHgCl structure.

Cell lengths 3.863, 5.918, 6.883 Å; angles 90.01, 89.99, 90.03 degrees
Atoms (fractional coordinates):
Ag  0.276  0.131  0.938
Ag  0.776  0.631  0.357
Hg  0.777  0.408  0.731
Hg  0.276  0.908  0.564
Cl  0.776  0.844  0.027
Cl  0.276  0.344  0.268

Values from the calculation:
Space-group type   Pmn2_1 (31)
Crystal system   orthorhombic


#ii
The following is a DFT calculation (GGA-PBE) of a geometry-optimized AgHgCl structure.

Cell lengths 3.865, 3.865, 5.785 Å; angles 90.00, 90.00, 120.00 degrees
Atoms (fractional coordinates):
Hg  0.333  0.667  0.695
Ag  0.000  0.000  0.020
Cl  0.667  0.333  0.285

Values from the calculation:
Space-group type   P3m1 (156)
Crystal system   trigonal


#i is preferred energetically. Next in line: 1.5 kJ/mol of atoms higher.


#i
The following is a DFT calculation (GGA-PBE) of a geometry-optimized AgHgCl structure.

Cell lengths 4.432, 7.703, 5.927 Å; angles 90.03, 90.00, 90.03 degrees
Atoms (fractional coordinates):
Ag  0.657  0.429  0.633
Ag  0.157  0.929  0.623
Hg  0.157  0.929  0.124
Hg  0.657  0.429  0.132
Cl  0.157  0.596  0.628
Cl  0.657  0.096  0.628

Values from the calculation:
Space-group type   Pmn2_1 (31)
Crystal system   orthorhombic


#ii
The following is a DFT calculation (GGA-PBE) of a geometry-optimized AgHgCl structure.

Cell lengths 6.797, 6.411, 3.639 Å; angles 79.94, 68.24, 31.81 degrees
Atoms (fractional coordinates):
Hg  0.657  0.657  0.343
Ag  0.989  0.989  0.011
Cl  0.353  0.353  0.647

Values from the calculation:
Space-group type   Fmm2 (42)
Crystal system   orthorhombic


#i is preferred energetically. Next in line: 7.6 kJ/mol of atoms higher.


#i
The following is a DFT calculation (GGA-PBE) of a geometry-optimized AgHgCl structure.

Cell lengths 6.324, 6.324, 6.324 Å; angles 148.46, 148.46, 45.21 degrees
Atoms (fractional coordinates):
Hg  0.653  0.653  0.000
Ag  0.986  0.986  0.000
Cl  0.361  0.361  0.000

Values from the calculation:
Space-group type   I4mm (107)
Crystal system   tetragonal


#ii
The following is a DFT calculation (GGA-PBE) of a geometry-optimized AgHgCl structure.

Cell lengths 4.837, 4.837, 4.837 Å; angles 60.00, 60.00, 60.00 degrees
Atoms (fractional coordinates):
Hg  0.500  0.500  0.500
Ag  0.750  0.750  0.750
Cl  0.000  0.000  0.000

Values from the calculation:
Space-group type   F-43m (216)
Crystal system   cubic


#i is preferred energetically. Next in line: 1.3 kJ/mol of atoms higher.


#i
The following is a DFT calculation (GGA-PBE) of a geometry-optimized Ag2Hg2Cl structure.

Cell lengths 7.598, 7.598, 3.980 Å; angles 90.00, 90.00, 90.00 degrees
Atoms (fractional coordinates):
Hg  0.166  0.666  0.500
Hg  0.666  0.834  0.500
Hg  0.834  0.334  0.500
Hg  0.334  0.166  0.500
Ag  0.366  0.866  0.000
Ag  0.866  0.634  0.000
Ag  0.634  0.134  0.000
Ag  0.134  0.366  0.000
Cl  0.000  0.000  0.000
Cl  0.500  0.500  0.000

Values from the calculation:
Space-group type   P4/mbm (127)
Crystal system   tetragonal


#ii
The following is a DFT calculation (GGA-PBE) of a geometry-optimized Ag2Hg2Cl structure.

Cell lengths 8.359, 8.359, 3.224 Å; angles 90.00, 90.00, 90.00 degrees
Atoms (fractional coordinates):
Hg  0.320  0.820  0.000
Hg  0.820  0.680  0.000
Hg  0.680  0.180  0.000
Hg  0.180  0.320  0.000
Ag  0.119  0.619  0.500
Ag  0.619  0.881  0.500
Ag  0.881  0.381  0.500
Ag  0.381  0.119  0.500
Cl  0.000  0.000  0.000
Cl  0.500  0.500  0.000

Values from the calculation:
Space-group type   P4/mbm (127)
Crystal system   tetragonal


#i is preferred energetically. Next in line: 4.6 kJ/mol of atoms higher.